Entry from the Open Quantum Materials Database: a relaxed BaSiPtPb2 crystal (PBE-GGA).

Cell lengths 6.5874, 6.5874, 6.5874 Å; angles 136.20, 136.20, 63.67 degrees
Fractional coordinates of all 5 atoms:
Ba (0.9974, 0.9974, 0.0000)
Pb (0.7416, 0.2416, 0.5000)
Pb (0.2416, 0.7416, 0.5000)
Pt (0.3754, 0.3754, 0.0000)
Si (0.5821, 0.5821, 0.0000)

Values from the calculation:
Energy (eV per atom): -4.628
M_tot (μB/cell): 0.0